(1)
Compound: ZrMn2Pt4
Source: the Alexandria database
Functional: PBE-GGA
Structure: relaxed

Cell lengths 4.952, 4.952, 7.289 Å; angles 70.14, 70.14, 90.00 degrees
Fractional coordinates of all 7 atoms:
Mn (0.606, 0.606, 0.788)
Mn (0.394, 0.394, 0.212)
Zr (0.000, 0.000, 0.000)
Pt (0.801, 0.801, 0.398)
Pt (0.199, 0.199, 0.602)
Pt (0.000, 0.500, 0.000)
Pt (0.500, 0.000, 0.000)

Properties
total magnetization	8.7	μB/cell
formation enthalpy at 0 K	0.569	eV per atom
space-group type	No. 139
calculated volume	156.8	Å³ per cell

(2)
Compound: BiOsS2
Source: the Alexandria database
Functional: PBE-GGA
Structure: relaxed

Cell lengths 9.411, 9.411, 9.411 Å; angles 19.42, 19.42, 19.42 degrees
Fractional coordinates of all 4 atoms:
S (0.920, 0.920, 0.920)
S (0.080, 0.080, 0.080)
Os (0.000, 0.000, 0.000)
Bi (0.500, 0.500, 0.500)

Properties
total magnetization	0.0	μB/cell
E_form (uncorrected)	62.5	kJ per mole of atoms
space-group type	No. 166
calculated volume	80.6	Å³ per cell

The highest total magnetization belongs to which entry? ZrMn2Pt4

What is the calculated volume in the first record? 156.8 Å³ per cell

What is the formula in the second record? BiOsS2